Entry 1:
PBE-GGA Sm7TlIn5, relaxed; DFT total energy = -4.048 eV/atom; symmetry = No. 44; D(E_F) = 0.951 states/eV/atom; crystal system = orthorhombic
1.0
-1.0671 4.2935 5.0128
-4.0892 -3.3560 6.4627
5.9951 -0.0921 5.8138
In Sm Tl
5 7 1
Direct
0.5242 0.9980 0.4820 In
0.9959 0.4820 0.9980 In
0.9959 0.9980 0.4820 In
0.5242 0.4820 0.9980 In
0.7651 0.7349 0.7349 In
0.0090 0.6704 0.3117 Sm
0.2801 0.2199 0.2199 Sm
0.6228 0.3772 0.3772 Sm
0.5187 0.8041 0.1586 Sm
0.0090 0.3117 0.6704 Sm
0.2690 0.7310 0.7310 Sm
0.5187 0.1586 0.8041 Sm
0.9676 0.0324 0.0324 Tl



Entry 2:
PBE-GGA Sm12Tl3In, relaxed; DFT total energy = -4.371 eV/atom; symmetry = No. 123; D(E_F) = 1.633 states/eV/atom; crystal system = tetragonal
1.0
-4.4834 -1.8789 -0.8488
1.9189 -4.5458 -0.0731
-3.0217 -1.5888 19.4784
Sm In Tl
12 1 3
Direct
0.5000 0.0000 0.8758 Sm
0.0000 0.5000 0.8758 Sm
0.5000 0.0000 0.1242 Sm
0.5000 0.5000 0.2497 Sm
0.0000 0.5000 0.3749 Sm
0.5000 0.5000 0.5000 Sm
0.0000 0.5000 0.1242 Sm
0.5000 0.5000 0.7503 Sm
0.5000 0.0000 0.3749 Sm
0.0000 0.5000 0.6251 Sm
0.5000 0.5000 0.0000 Sm
0.5000 0.0000 0.6251 Sm
0.0000 0.0000 0.0000 In
0.0000 0.0000 0.7501 Tl
0.0000 0.0000 0.2499 Tl
0.0000 0.0000 0.5000 Tl



Entry 3:
PBE-GGA Sm2TlIn2, relaxed; offset from the most stable computed form = 0.0214 eV/atom; DFT total energy = -3.841 eV/atom; symmetry = No. 127; D(E_F) = 0.583 states/eV/atom; crystal system = tetragonal
1.0
-2.2207 4.1697 -0.3735
-3.4441 -2.4189 -6.5270
-5.9337 -2.7871 4.1639
Tl Sm In
2 4 4
Direct
0.0000 0.5000 0.5000 Tl
0.0000 0.0000 0.0000 Tl
0.5000 0.3314 0.8314 Sm
0.5000 0.1686 0.3314 Sm
0.5000 0.6686 0.1686 Sm
0.5000 0.8314 0.6686 Sm
0.0000 0.1321 0.6321 In
0.0000 0.8679 0.3679 In
0.0000 0.3679 0.1321 In
0.0000 0.6321 0.8679 In



Entry 4:
PBE-GGA Sm2TlIn2, relaxed; offset from the most stable computed form = 0.0000 eV/atom; DFT total energy = -3.863 eV/atom; symmetry = No. 65; D(E_F) = 0.849 states/eV/atom; crystal system = orthorhombic
1.0
-0.6726 -1.7796 -3.0080
3.1207 -3.4100 1.3197
-7.4679 -2.2782 3.0175
Sm Tl In
2 1 2
Direct
0.5000 0.6141 0.2282 Sm
0.5000 0.3859 0.7718 Sm
0.0000 0.0000 0.0000 Tl
0.0000 0.8010 0.6021 In
0.0000 0.1990 0.3979 In



Entry 5:
PBE-GGA Sm6Tl3In, relaxed; offset from the most stable computed form = 0.0965 eV/atom; DFT total energy = -4.025 eV/atom; symmetry = No. 11; D(E_F) = 1.076 states/eV/atom; crystal system = monoclinic
1.0
-0.9255 -0.1667 -3.6264
-11.3300 -2.0473 2.9857
1.2234 14.4812 -0.9778
Tl Sm In
6 12 2
Direct
0.2500 0.6215 0.1381 Tl
0.7500 0.1095 0.0519 Tl
0.7500 0.6357 0.5152 Tl
0.2500 0.3643 0.4848 Tl
0.2500 0.8905 0.9481 Tl
0.7500 0.3785 0.8619 Tl
0.7500 0.1287 0.4664 Sm
0.7500 0.7366 0.3284 Sm
0.7500 0.3917 0.0864 Sm
0.7500 0.5085 0.6812 Sm
0.2500 0.1425 0.8738 Sm
0.2500 0.1836 0.2411 Sm
0.2500 0.4915 0.3188 Sm
0.2500 0.2634 0.6716 Sm
0.2500 0.6083 0.9136 Sm
0.2500 0.8713 0.5336 Sm
0.7500 0.8164 0.7589 Sm
0.7500 0.8575 0.1262 Sm
0.2500 0.9562 0.3185 In
0.7500 0.0438 0.6815 In



Entry 6:
PBE-GGA Sm4Tl3In, relaxed; offset from the most stable computed form = 0.0456 eV/atom; DFT total energy = -3.954 eV/atom; symmetry = No. 25; D(E_F) = 1.046 states/eV/atom; crystal system = orthorhombic
1.0
-3.4376 2.6663 -1.6598
0.9292 -1.3668 -4.1202
-7.5504 -8.9470 1.2651
In Sm Tl
1 4 3
Direct
0.5000 0.5000 0.0860 In
0.5000 0.5000 0.3628 Sm
0.0000 0.0000 0.1368 Sm
0.5000 0.0000 0.6360 Sm
0.0000 0.5000 0.8656 Sm
0.0000 0.0000 0.4098 Tl
0.5000 0.0000 0.9110 Tl
0.0000 0.5000 0.5919 Tl



Entry 7:
PBE-GGA Sm2Tl3In3, relaxed; DFT total energy = -3.460 eV/atom; symmetry = No. 47; D(E_F) = 0.498 states/eV/atom; crystal system = orthorhombic
1.0
-3.6773 -2.5060 1.7526
3.0309 -3.0132 2.0510
0.0588 5.3593 7.7865
Tl Sm In
3 2 3
Direct
0.5000 0.0000 0.5000 Tl
0.0000 0.5000 0.5000 Tl
0.0000 0.5000 0.0000 Tl
0.0000 0.0000 0.2484 Sm
0.0000 0.0000 0.7516 Sm
0.5000 0.5000 0.2461 In
0.5000 0.0000 0.0000 In
0.5000 0.5000 0.7539 In



Entry 8:
PBE-GGA Sm7Tl4In, relaxed; DFT total energy = -3.968 eV/atom; symmetry = No. 12; D(E_F) = 0.827 states/eV/atom; crystal system = monoclinic
1.0
-4.7712 1.8419 2.6668
0.2407 -2.7214 8.5479
2.3567 5.7497 6.4828
Sm Tl In
7 4 1
Direct
0.1641 0.0757 0.5961 Sm
0.8359 0.9243 0.4039 Sm
0.7181 0.3875 0.1763 Sm
0.0689 0.5997 0.2625 Sm
0.2819 0.6125 0.8237 Sm
0.5000 0.0000 0.0000 Sm
0.9311 0.4003 0.7375 Sm
0.4415 0.7080 0.4089 Tl
0.2879 0.2462 0.1781 Tl
0.5585 0.2920 0.5911 Tl
0.7121 0.7538 0.8219 Tl
0.0000 0.0000 0.0000 In



Entry 9:
PBE-GGA Sm6Tl5In, relaxed; DFT total energy = -3.846 eV/atom; symmetry = No. 12; D(E_F) = 0.914 states/eV/atom; crystal system = monoclinic
1.0
-1.1351 -1.6180 6.4545
1.8166 -9.6969 0.1630
6.4123 -3.7967 1.3130
Tl Sm In
5 6 1
Direct
0.5000 0.5000 0.0000 Tl
0.5000 0.1642 0.6716 Tl
0.0000 0.3300 0.3399 Tl
0.5000 0.8358 0.3284 Tl
0.0000 0.6700 0.6601 Tl
0.7503 0.0842 0.3319 Sm
0.2497 0.5839 0.3319 Sm
0.2497 0.9158 0.6681 Sm
0.7503 0.4161 0.6681 Sm
0.7543 0.7486 0.0000 Sm
0.2457 0.2514 0.0000 Sm
0.0000 0.0000 0.0000 In



Entry 10:
PBE-GGA Sm4TlIn, relaxed; offset from the most stable computed form = 0.0101 eV/atom; DFT total energy = -4.059 eV/atom; symmetry = No. 47; D(E_F) = 1.561 states/eV/atom; crystal system = orthorhombic
1.0
3.5797 0.0000 0.0000
0.0000 9.3138 0.0224
0.0000 -0.0135 5.7370
Sm In Tl
4 1 1
Direct
0.0000 0.1996 0.5004 Sm
0.0000 0.8004 0.4996 Sm
0.5000 0.6969 0.9996 Sm
0.5000 0.3031 0.0004 Sm
0.5000 0.5000 0.5000 In
0.0000 0.0000 0.0000 Tl



Entry 11:
PBE-GGA Sm6TlIn3, relaxed; offset from the most stable computed form = 0.1146 eV/atom; DFT total energy = -4.132 eV/atom; symmetry = No. 11; D(E_F) = 0.984 states/eV/atom; crystal system = monoclinic
1.0
-2.0585 2.4012 -1.9741
-7.6795 -8.5627 -2.4072
-4.8579 6.0624 12.4395
In Sm Tl
6 12 2
Direct
0.2500 0.3794 0.4933 In
0.2500 0.6199 0.1401 In
0.7500 0.1023 0.0450 In
0.7500 0.6206 0.5067 In
0.7500 0.3801 0.8599 In
0.2500 0.8977 0.9550 In
0.7500 0.8550 0.1286 Sm
0.7500 0.1400 0.4639 Sm
0.2500 0.2671 0.6718 Sm
0.2500 0.8600 0.5361 Sm
0.2500 0.1762 0.2323 Sm
0.2500 0.4840 0.3106 Sm
0.2500 0.6115 0.9180 Sm
0.7500 0.5160 0.6894 Sm
0.7500 0.7329 0.3282 Sm
0.7500 0.3885 0.0820 Sm
0.2500 0.1450 0.8714 Sm
0.7500 0.8238 0.7677 Sm
0.7500 0.0421 0.6770 Tl
0.2500 0.9579 0.3230 Tl



Entry 12:
PBE-GGA Sm8Tl5In, relaxed; DFT total energy = -4.024 eV/atom; symmetry = No. 82; D(E_F) = 1.183 states/eV/atom; crystal system = tetragonal
1.0
-2.0544 3.4482 7.1962
-3.3364 -7.5184 -0.4879
8.2008 -0.6013 -0.5296
Sm Tl In
8 5 1
Direct
0.6243 0.8962 0.8736 Sm
0.9774 0.1038 0.7280 Sm
0.4764 0.6018 0.2268 Sm
0.1254 0.7504 0.5236 Sm
0.2720 0.2493 0.3757 Sm
0.1264 0.7507 0.0226 Sm
0.7732 0.2496 0.3750 Sm
0.6250 0.3982 0.8746 Sm
0.0001 0.3756 0.1262 Tl
0.7506 0.6244 0.6245 Tl
0.5000 0.0000 0.5000 Tl
0.8738 0.8739 0.2494 Tl
0.3755 0.1261 0.9999 Tl
0.2500 0.5000 0.7500 In



Entry 13:
PBE-GGA Sm3Tl3In, relaxed; DFT total energy = -3.718 eV/atom; symmetry = No. 176; D(E_F) = 0.677 states/eV/atom; crystal system = hexagonal
1.0
-0.4216 -0.7251 5.3703
-6.9003 -6.0270 -1.3556
8.7637 -2.9818 0.2855
Sm Tl In
6 6 2
Direct
0.2500 0.5483 0.8999 Sm
0.7500 0.8999 0.3516 Sm
0.7500 0.6484 0.5483 Sm
0.2500 0.3516 0.4517 Sm
0.7500 0.4517 0.1001 Sm
0.2500 0.1001 0.6484 Sm
0.7500 0.1905 0.2420 Tl
0.2500 0.8095 0.7580 Tl
0.2500 0.2420 0.0515 Tl
0.7500 0.7580 0.9485 Tl
0.2500 0.9485 0.1905 Tl
0.7500 0.0515 0.8095 Tl
0.7500 0.3333 0.6667 In
0.2500 0.6667 0.3333 In



Entry 14:
PBE-GGA Sm5Tl4In, relaxed; DFT total energy = -3.982 eV/atom; symmetry = No. 123; D(E_F) = 0.767 states/eV/atom; crystal system = tetragonal
1.0
3.8387 0.0000 0.0000
0.0000 3.8387 0.0000
0.0000 0.0000 19.4455
Tl Sm In
4 5 1
Direct
0.0000 0.0000 0.1989 Tl
0.0000 0.0000 0.3995 Tl
0.0000 0.0000 0.6005 Tl
0.0000 0.0000 0.8011 Tl
0.5000 0.5000 0.5000 Sm
0.5000 0.5000 0.0983 Sm
0.5000 0.5000 0.7010 Sm
0.5000 0.5000 0.2990 Sm
0.5000 0.5000 0.9017 Sm
0.0000 0.0000 0.0000 In



Entry 15:
PBE-GGA Sm9Tl2In, relaxed; DFT total energy = -4.383 eV/atom; symmetry = No. 123; D(E_F) = 1.491 states/eV/atom; crystal system = tetragonal
1.0
-0.6609 4.8953 0.0747
-4.1544 -0.6006 2.6050
7.7735 0.8572 12.5944
Sm Tl In
9 2 1
Direct
0.5000 0.5000 0.0000 Sm
0.5000 0.0000 0.5000 Sm
0.5000 0.5000 0.3328 Sm
0.5000 0.5000 0.6672 Sm
0.0000 0.5000 0.5000 Sm
0.5000 0.0000 0.8344 Sm
0.0000 0.5000 0.1656 Sm
0.0000 0.5000 0.8344 Sm
0.5000 0.0000 0.1656 Sm
0.0000 0.0000 0.3332 Tl
0.0000 0.0000 0.6668 Tl
0.0000 0.0000 0.0000 In



Entry 16:
PBE-GGA Sm8Tl3In2, relaxed; DFT total energy = -4.022 eV/atom; symmetry = No. 65; D(E_F) = 1.097 states/eV/atom; crystal system = orthorhombic
1.0
5.5883 0.0000 0.8236
0.0000 9.0859 -0.0001
-1.1824 -4.5430 8.0199
Sm Tl In
8 3 2
Direct
0.0002 0.6850 0.3701 Sm
0.0000 0.8935 0.7869 Sm
0.0000 0.1065 0.2131 Sm
0.4999 0.1722 0.7647 Sm
0.5001 0.8278 0.2353 Sm
0.9998 0.3150 0.6299 Sm
0.5001 0.4075 0.2353 Sm
0.4999 0.5925 0.7647 Sm
0.5000 0.0000 0.0000 Tl
0.0000 0.6774 0.0000 Tl
0.0000 0.3226 0.0000 Tl
0.4998 0.2241 0.4481 In
0.5002 0.7759 0.5519 In



Entry 17:
PBE-GGA Sm5TlIn3, relaxed; DFT total energy = -4.212 eV/atom; symmetry = No. 193; D(E_F) = 0.875 states/eV/atom; crystal system = hexagonal
1.0
-3.2488 -4.7220 3.5573
7.4512 -0.6743 5.9101
-7.0005 6.2052 1.8433
Sm In Tl
10 6 2
Direct
0.5000 0.6667 0.3333 Sm
0.7500 0.2928 0.0000 Sm
0.0000 0.3333 0.6667 Sm
0.2500 0.7072 0.0000 Sm
0.7500 0.0000 0.2929 Sm
0.5000 0.3333 0.6667 Sm
0.0000 0.6667 0.3333 Sm
0.2500 0.0000 0.7071 Sm
0.2500 0.2929 0.2929 Sm
0.7500 0.7071 0.7071 Sm
0.7500 0.0000 0.6303 In
0.7500 0.6303 0.0000 In
0.2500 0.3697 0.0000 In
0.2500 0.6303 0.6303 In
0.2500 0.0000 0.3697 In
0.7500 0.3697 0.3697 In
0.5000 0.0000 0.0000 Tl
0.0000 0.0000 0.0000 Tl



Entry 18:
PBE-GGA Sm3Y3Tl2In, relaxed; DFT total energy = -4.860 eV/atom; symmetry = No. 189; D(E_F) = 1.181 states/eV/atom; crystal system = hexagonal
1.0
3.8375 0.0000 0.0000
0.0000 8.9915 0.0000
0.0000 -4.4957 7.7868
Y Sm In Tl
3 3 1 2
Direct
0.5000 0.7146 0.0000 Y
0.5000 0.0000 0.7146 Y
0.5000 0.2854 0.2854 Y
0.0000 0.6177 0.6177 Sm
0.0000 0.0000 0.3823 Sm
0.0000 0.3823 0.0000 Sm
0.0000 0.0000 0.0000 In
0.5000 0.3333 0.6667 Tl
0.5000 0.6667 0.3333 Tl



Entry 19:
PBE-GGA Sm5YTl2In, relaxed; DFT total energy = -4.216 eV/atom; symmetry = No. 140; D(E_F) = 1.238 states/eV/atom; crystal system = tetragonal
1.0
7.8331 0.0000 0.0000
0.0000 7.8331 0.0000
-3.9166 -3.9166 9.2441
Tl Sm In Y
4 10 2 2
Direct
0.6250 0.1250 0.0000 Tl
0.3750 0.8750 0.0000 Tl
0.8750 0.6250 0.0000 Tl
0.1250 0.3750 0.0000 Tl
0.8440 0.9249 0.2688 Sm
0.0751 0.5751 0.7312 Sm
0.5751 0.6560 0.7312 Sm
0.0000 0.0000 0.0000 Sm
0.4249 0.3440 0.2688 Sm
0.3440 0.8440 0.2688 Sm
0.6560 0.1560 0.7312 Sm
0.5000 0.5000 0.0000 Sm
0.9249 0.4249 0.2688 Sm
0.1560 0.0751 0.7312 Sm
0.2500 0.2500 0.5000 In
0.7500 0.7500 0.5000 In
0.2500 0.7500 0.5000 Y
0.7500 0.2500 0.5000 Y



Entry 20:
PBE-GGA SmZrTlIn, relaxed; DFT total energy = -4.780 eV/atom; symmetry = No. 216; D(E_F) = 0.998 states/eV/atom; crystal system = cubic
1.0
-4.6562 -2.3592 -0.4945
-0.3793 -4.5301 -2.6124
-0.9730 -4.4500 2.5963
Tl Sm In Zr
1 1 1 1
Direct
0.0000 0.0000 0.0000 Tl
0.7500 0.7500 0.7500 Sm
0.5000 0.5000 0.5000 In
0.2500 0.2500 0.2500 Zr



For the records above, the corresponding formation energy values read -6.26, -4.99, -8.87, -9.37, -4.84, -8.41, -8.44, -4.56, -6.27, -1.44, -5.58, -6.61, -6.68, -9.27, -5.11, -3.47, -9.56, -6.96, -1.06, -4.31 kcal/mol of atoms.